Record 1
# HgBr2F

A geometry-optimized HgBr2F structure (PBEsol, the Alexandria database).

Computed properties:
SG	R-3m (166)
raw formation energy	-0.10	eV/atom
D(E_F)	4.27	states/eV/f.u.
theoretical density	5.845	g cm⁻³

a b c (Å): 8.463 8.463 8.463
angles (deg): 26.69 26.69 26.69
Positions (direct):
1 Hg 0.000 0.000 0.000
2 Br 0.098 0.098 0.098
3 Br 0.902 0.902 0.902
4 F 0.500 0.500 0.500

***

Record 2
# IrBrF2

A geometry-optimized IrBrF2 structure (PBEsol, the Alexandria database).

Computed properties:
SG	I-42d (122)
raw formation energy	0.00	eV/atom
D(E_F)	2.93	states/eV/f.u.
theoretical density	8.919	g cm⁻³

a b c (Å): 7.938 7.938 7.938
angles (deg): 151.25 151.25 41.11
Positions (direct):
1 Ir 0.000 0.000 0.000
2 Ir 0.750 0.250 0.500
3 Br 0.250 0.750 0.500
4 Br 0.500 0.500 0.000
5 F 0.375 0.245 0.370
6 F 0.755 0.125 0.130
7 F 0.875 0.005 0.630
8 F 0.995 0.625 0.870

***

Record 3
# IrBrF3

A geometry-optimized IrBrF3 structure (PBEsol, the Alexandria database).

Computed properties:
SG	Pm-3m (221)
raw formation energy	0.86	eV/atom
D(E_F)	7.53	states/eV/f.u.
theoretical density	6.450	g cm⁻³

a b c (Å): 4.392 4.392 4.392
angles (deg): 90.00 90.00 90.00
Positions (direct):
1 Ir 0.000 0.000 0.000
2 Br 0.500 0.500 0.500
3 F 0.000 0.500 0.500
4 F 0.500 0.000 0.500
5 F 0.500 0.500 0.000

***

Record 4
# Ir2BrF

A geometry-optimized Ir2BrF structure (PBEsol, the Alexandria database).

Computed properties:
SG	Fm-3m (225)
raw formation energy	0.86	eV/atom
D(E_F)	2.50	states/eV/f.u.
theoretical density	14.630	g cm⁻³

a b c (Å): 4.265 4.265 4.265
angles (deg): 60.00 60.00 60.00
Positions (direct):
1 Ir 0.250 0.250 0.250
2 Ir 0.750 0.750 0.750
3 Br 0.000 0.000 0.000
4 F 0.500 0.500 0.500

***

Number 1 is which compound?
HgBr2F